meta-GGA SCAN Si2AgP, single point on PBEsol structure; formation energy from raw total energies = 688 meV per atom
1.0
3.633 0.000 0.000
0.000 3.633 0.000
0.000 0.000 4.829
Si Ag P
2 1 1
direct
0.000 0.500 0.000
0.500 0.000 0.000
0.000 0.000 0.500
0.500 0.500 0.500